Material: Cr4InCuSe8
Method: DFT, PBE
State: relaxed

a b c (Å): 10.691 10.691 10.691
angles (deg): 90.00 90.00 90.00
Space group F-43m (No. 216)
One atom of each set of equivalent atoms:
Cr1 0.121 0.121 0.121 [16 per cell]
In1 0.000 0.000 0.500 [4 per cell]
Cu1 0.250 0.250 0.750 [4 per cell]
Se1 0.116 0.116 0.884 [16 per cell]
Se2 0.140 0.140 0.360 [16 per cell]

Values from the calculation:
* uncorrected formation energy: -0.518 eV/atom
* magnetization: 0.855 μB/atom
* calculated total energy: -321.80 eV/cell